# ZrTaGa (PBE-GGA, optimized geometry)
# ΔE to the lowest computed polymorph = 28 meV/atom
# calculated total energy = -8.143 eV/atom
# V = 55.8 Å³/f.u.
data_ZrTaGa
_chemical_formula_sum 'Zr4 Ta4 Ga4'
_cell_length_a 5.2460
_cell_length_b 6.5173
_cell_length_c 6.5254
_cell_angle_alpha 90.00
_cell_angle_beta 90.00
_cell_angle_gamma 90.00
_symmetry_space_group_name_H-M 'I m a 2'
_symmetry_Int_Tables_number 46
loop_
_symmetry_equiv_pos_as_xyz
'x,y,z'
'-x,-y,z'
'-x+1/2,y,z'
'x+1/2,-y,z'
'x+1/2,y+1/2,z+1/2'
'-x+1/2,-y+1/2,z+1/2'
'-x,y+1/2,z+1/2'
'x,-y+1/2,z+1/2'
loop_
_atom_site_label
_atom_site_fract_x
_atom_site_fract_y
_atom_site_fract_z
_atom_site_occupancy
Zr1 0.2500 0.1525 0.0000 1
Ta1 0.2500 0.6556 0.8093 1
Ga1 0.0000 0.0000 0.6487 1